# 1
An optimized crystal structure of ErCo4Ge2, computed with GGA-PBE.

Unit cell a=7.234 b=7.234 c=3.688 alpha=90.00 beta=90.00 gamma=90.00
Fractional positions:
1 Er 0.000 0.000 0.000
2 Er 0.500 0.500 0.500
3 Co 0.081 0.353 0.500
4 Co 0.147 0.581 0.000
5 Co 0.353 0.081 0.500
6 Co 0.419 0.853 0.000
7 Co 0.581 0.147 0.000
8 Co 0.647 0.919 0.500
9 Co 0.853 0.419 0.000
10 Co 0.919 0.647 0.500
11 Ge 0.223 0.777 0.500
12 Ge 0.277 0.277 0.000
13 Ge 0.723 0.723 0.000
14 Ge 0.777 0.223 0.500

Energy of formation from the pure elements (eV/atom): -0.393

***

# 2
An optimized crystal structure of Al3ZnIn, computed with GGA-PBE.

Unit cell a=5.247 b=5.247 c=5.247 alpha=90.00 beta=90.00 gamma=90.00
Fractional positions:
1 Al 0.000 0.000 0.500
2 Al 0.000 0.500 0.000
3 Al 0.500 0.000 0.000
4 Zn 0.500 0.500 0.500
5 In 0.000 0.000 0.000

Energy of formation from the pure elements (eV/atom): 0.904
Energy relative to the lowest polymorph listed for this composition (meV/atom): 467